Computed, not measured: crystalline Ba2NaIn12Ni3 at its relaxed geometry at the GGA-PBE level of DFT.

Cell: 9.0010 9.0010 9.0010 Å, 62.85 62.85 62.85°
Closest atoms and distances in Å follow each position.
Fractional coordinates of all 18 atoms:
Ba: 0.5886 0.5886 0.5886  6 In 3.49-3.73, 1 Ba 3.82
Ba: 0.4114 0.4114 0.4114  6 In 3.49-3.73, 1 Ba 3.82
Na: 0.0000 0.0000 0.0000  12 In 3.47-3.72
In: 0.2678 0.2678 0.9016  2 Ni 2.47
In: 0.8475 0.8475 0.4558  1 Ni 2.58
In: 0.4558 0.8475 0.8475  1 Ni 2.58
In: 0.9016 0.2678 0.2678  2 Ni 2.47
In: 0.8475 0.4558 0.8475  1 Ni 2.58
In: 0.2678 0.9016 0.2678  2 Ni 2.47
In: 0.7322 0.7322 0.0984  2 Ni 2.47
In: 0.1525 0.1525 0.5442  1 Ni 2.58
In: 0.5442 0.1525 0.1525  1 Ni 2.58
In: 0.0984 0.7322 0.7322  2 Ni 2.47
In: 0.1525 0.5442 0.1525  1 Ni 2.58
In: 0.7322 0.0984 0.7322  2 Ni 2.47
Ni: 0.5000 0.0000 0.0000  6 In 2.47-2.58
Ni: 0.0000 0.5000 0.0000  6 In 2.47-2.58
Ni: 0.0000 0.0000 0.5000  6 In 2.47-2.58

Computed properties:
space-group type	R-3m, No. 166

***

Computed, not measured: crystalline CeYPdPt at its relaxed geometry at the GGA-PBE level of DFT.

Cell: 3.7577 4.5940 5.6510 Å, 90.00 109.42 90.00°
Closest atoms and distances in Å follow each position.
Fractional coordinates of all 4 atoms:
Ce: 0.8633 0.5000 0.7266  3 Pt 2.92-3.05, 4 Pd 3.01
Y: 0.1369 0.0000 0.2737  3 Pd 2.92-3.06, 4 Pt 3.01
Pd: 0.4107 0.0000 0.8213  3 Y 2.92-3.06, 2 Pt 2.98, 4 Ce 3.01
Pt: 0.5892 0.5000 0.1784  3 Ce 2.92-3.05, 2 Pd 2.98, 4 Y 3.01

Computed properties:
space-group type	Amm2, No. 38
distance to the lowest polymorph of the same formula	0	meV/atom

***

| no. | raw total energy (Ry/atom) |
| --- | --- |
| 1 | -0.2288 |
| 2 | -0.5072 |